DFT (GGA-PBE) results for a relaxed LaNdB2Pd8 crystal.

abc: 5.498 5.498 7.675
angles: 90.00 90.00 120.00
Sites, in units of the cell vectors:
La1 0.000 0.000 0.500
B1 0.667 0.333 0.000
Pd1 0.000 0.500 0.804
Pd2 0.500 0.500 0.804
Pd3 0.500 0.000 0.804
B2 0.333 0.667 0.000
Pd4 0.000 0.500 0.196
Pd5 0.667 0.333 0.500
Nd1 0.000 0.000 0.000
Pd6 0.500 0.000 0.196
Pd7 0.500 0.500 0.196
Pd8 0.333 0.667 0.500

Properties
Its theoretical density is 9.6 Mg/m³. As for the uncorrected energy: -6.02 eV/atom. The spin magnetization comes out at 0.0 Bohr magnetons per cell. As for the space group: P6/mmm, No. 191. For the energy relative to the lowest polymorph listed for this composition, the calculation gives 0 meV per atom.

DFT (GGA-PBE) results for a relaxed NpBAs crystal.

abc: 4.291 4.291 4.291
angles: 60.00 60.00 60.00
Each line ends with the local moment (μB).
Sites, in units of the cell vectors:
As1 0.250 0.250 0.250  -0.04
B1 0.750 0.750 0.750  -0.01
Np1 0.000 0.000 0.000  2.43

Properties
Its theoretical density is 9.6 Mg/m³. As for the uncorrected energy: -7.46 eV/atom. The spin magnetization comes out at 2.4 Bohr magnetons per cell. As for the space group: F-43m, No. 216. For the energy relative to the lowest polymorph listed for this composition, the calculation gives 392 meV per atom.

DFT (GGA-PBE) results for a relaxed ThSiB4 crystal.

abc: 5.294 5.294 5.294
angles: 144.50 122.87 69.09
Sites, in units of the cell vectors:
B1 0.455 0.769 0.685
B2 0.916 0.231 0.685
B3 0.545 0.231 0.315
Th1 0.500 0.500 0.000
Si1 0.000 0.000 0.000
B4 0.084 0.769 0.315

Properties
Its theoretical density is 7.1 Mg/m³. As for the uncorrected energy: -6.62 eV/atom. The spin magnetization comes out at 0.0 Bohr magnetons per cell. As for the space group: Immm, No. 71. For the energy relative to the lowest polymorph listed for this composition, the calculation gives 0 meV per atom.

DFT (GGA-PBE) results for a relaxed TlCuTe2PtS crystal.

abc: 6.827 6.827 10.914
angles: 90.00 90.00 145.53
Sites, in units of the cell vectors:
Te1 0.867 0.133 0.526
S1 0.521 0.479 0.750
S2 0.479 0.521 0.250
Tl1 0.763 0.237 0.250
Cu1 0.942 0.058 0.750
Te2 0.133 0.867 0.474
Pt1 0.500 0.500 0.500
Tl2 0.237 0.763 0.750
Pt2 0.500 0.500 0.000
Te3 0.133 0.867 0.026
Te4 0.867 0.133 0.974
Cu2 0.058 0.942 0.250

Properties
Its theoretical density is 8.7 Mg/m³. As for the uncorrected energy: -3.94 eV/atom. The spin magnetization comes out at 0.0 Bohr magnetons per cell. As for the space group: Cmcm, No. 63.

DFT (GGA-PBE) results for a relaxed LiLuOs2 crystal.

abc: 4.475 4.475 4.475
angles: 60.00 60.00 60.00
Sites, in units of the cell vectors:
Os1 0.000 0.000 0.000
Lu1 0.250 0.250 0.250
Li1 0.500 0.500 0.500
Os2 0.750 0.750 0.750

Properties
Its theoretical density is 14.7 Mg/m³. As for the uncorrected energy: -7.14 eV/atom. The spin magnetization comes out at 0.0 Bohr magnetons per cell. As for the space group: F-43m, No. 216.

DFT (GGA-PBE) results for a relaxed NaPrCdSe3 crystal.

abc: 11.445 4.290 13.690
angles: 90.00 90.00 90.00
Sites, in units of the cell vectors:
Na1 0.289 0.750 0.995
Pr1 0.511 0.750 0.738
Se1 0.242 0.250 0.160
Se2 0.258 0.750 0.660
Cd1 0.261 0.250 0.780
Se3 0.953 0.250 0.615
Se4 0.083 0.250 0.899
Na2 0.789 0.750 0.505
Se5 0.047 0.750 0.385
Se6 0.917 0.750 0.101
Se7 0.742 0.250 0.340
Se8 0.583 0.250 0.601
Se9 0.547 0.750 0.115
Pr2 0.989 0.250 0.238
Pr3 0.011 0.750 0.762
Pr4 0.489 0.250 0.262
Cd2 0.739 0.750 0.220
Se10 0.758 0.750 0.840
Na3 0.711 0.250 0.005
Na4 0.211 0.250 0.495
Cd3 0.239 0.750 0.280
Cd4 0.761 0.250 0.720
Se11 0.453 0.250 0.885
Se12 0.417 0.750 0.399

Properties
Its theoretical density is 5.1 Mg/m³. As for the uncorrected energy: -4.15 eV/atom. The spin magnetization comes out at 0.0 Bohr magnetons per cell. As for the space group: Pnma, No. 62. For the energy relative to the lowest polymorph listed for this composition, the calculation gives 19 meV per atom.

DFT (GGA-PBE) results for a relaxed Ba2Ho10Si12O41 crystal.

abc: 5.527 6.858 23.625
angles: 83.58 88.77 73.41
Sites, in units of the cell vectors:
O1 0.937 0.518 0.807
Ho1 0.202 0.604 0.533
O2 0.483 0.569 0.652
Ho2 0.787 0.541 0.116
O3 0.113 0.494 0.056
Ho3 0.213 0.459 0.884
O4 0.869 0.181 0.771
O5 0.486 0.522 0.764
O6 0.590 0.658 0.030
Si1 0.303 0.077 0.551
Si2 0.687 0.058 0.130
O7 0.127 0.764 0.355
O8 0.894 0.866 0.978
O9 0.485 0.831 0.927
O10 0.482 0.976 0.815
O11 0.514 0.478 0.236
O12 0.870 0.084 0.439
O13 0.540 0.924 0.392
O14 0.410 0.342 0.970
O15 0.518 0.024 0.185
Si3 0.560 0.303 0.292
O16 0.500 0.000 0.500
Ho4 0.134 0.138 0.215
O17 0.887 0.506 0.944
Ba1 0.267 0.228 0.710
O18 0.853 0.164 0.292
Si4 0.278 0.289 0.030
Si5 0.697 0.923 0.449
O19 0.859 0.208 0.143
O20 0.131 0.819 0.229
O21 0.873 0.236 0.645
Si6 0.313 0.942 0.870
O22 0.607 0.457 0.552
Ho5 0.798 0.396 0.467
O23 0.927 0.605 0.609
Si7 0.741 0.380 0.804
O24 0.869 0.842 0.112
O25 0.122 0.304 0.528
O26 0.384 0.670 0.135
O27 0.361 0.167 0.291
O28 0.141 0.792 0.857
Si8 0.264 0.540 0.387
O29 0.147 0.836 0.708
Ho6 0.144 0.071 0.368
O30 0.460 0.076 0.608
O31 0.073 0.395 0.391
O32 0.878 0.696 0.472
O33 0.131 0.158 0.888
Ho7 0.856 0.929 0.632
O34 0.106 0.134 0.022
Ho8 0.187 0.800 0.049
Ho9 0.813 0.200 0.951
O35 0.515 0.169 0.073
Si9 0.722 0.711 0.970
O36 0.517 0.431 0.348
O37 0.639 0.833 0.709
Si10 0.259 0.620 0.196
Si11 0.736 0.460 0.613
O38 0.130 0.916 0.561
Ba2 0.733 0.772 0.290
Si12 0.440 0.697 0.708
O39 0.063 0.482 0.193
Ho10 0.866 0.862 0.785
O40 0.616 0.330 0.865
O41 0.393 0.543 0.448

Properties
Its theoretical density is 5.7 Mg/m³. As for the uncorrected energy: -8.10 eV/atom. The spin magnetization comes out at 0.0 Bohr magnetons per cell. As for the space group: P-1, No. 2.

DFT (GGA-PBE) results for a relaxed TmNi crystal.

abc: 3.659 3.659 3.492
angles: 90.00 90.00 120.00
Sites, in units of the cell vectors:
Ni1 0.667 0.333 0.750
Tm1 0.333 0.667 0.250

Properties
Its theoretical density is 9.3 Mg/m³. As for the uncorrected energy: -5.22 eV/atom. The spin magnetization comes out at 0.0 Bohr magnetons per cell. As for the space group: P-6m2, No. 187. The calculation puts the formation enthalpy at 0 K at -0.202 eV per atom.

DFT (GGA-PBE) results for a relaxed BaBeAu crystal.

abc: 5.326 5.326 5.326
angles: 60.00 60.00 60.00
Sites, in units of the cell vectors:
Be1 0.750 0.750 0.750
Ba1 0.000 0.000 0.000
Au1 0.250 0.250 0.250

Properties
Its theoretical density is 5.3 Mg/m³. As for the uncorrected energy: -2.39 eV/atom. As for the space group: F-43m, No. 216. For the energy relative to the lowest polymorph listed for this composition, the calculation gives 341 meV per atom.

DFT (GGA-PBE) results for a relaxed TbYCSe crystal.

abc: 3.773 3.773 13.342
angles: 90.00 90.00 120.00
Sites, in units of the cell vectors:
C1 0.000 0.000 0.000
Tb1 0.667 0.333 0.600
Y1 0.667 0.333 0.899
C2 0.000 0.000 0.500
Se1 0.667 0.333 0.250
Se2 0.333 0.667 0.750
Y2 0.333 0.667 0.399
Tb2 0.333 0.667 0.100

Properties
Its theoretical density is 6.8 Mg/m³. As for the uncorrected energy: -7.10 eV/atom. The spin magnetization comes out at 0.0 Bohr magnetons per cell. As for the space group: P6_3mc, No. 186.

DFT (GGA-PBE) results for a relaxed HfZnSb2 crystal.

abc: 5.063 5.063 5.063
angles: 60.00 60.00 60.00
Sites, in units of the cell vectors:
Sb1 0.000 0.000 0.000
Hf1 0.250 0.250 0.250
Sb2 0.750 0.750 0.750
Zn1 0.500 0.500 0.500

Properties
Its theoretical density is 8.8 Mg/m³. As for the uncorrected energy: -4.62 eV/atom. The spin magnetization comes out at 0.0 Bohr magnetons per cell. As for the space group: F-43m, No. 216.

DFT (GGA-PBE) results for a relaxed Tm2Tl2O5 crystal.

abc: 6.998 4.296 4.296
angles: 90.00 90.00 90.00
Sites, in units of the cell vectors:
Tm1 0.500 0.000 0.000
Tl1 0.808 0.500 0.500
O1 0.752 0.000 0.500
O2 0.248 0.500 0.000
Tm2 0.000 0.000 0.000
O3 0.248 0.000 0.500
O4 0.500 0.500 0.500
Tl2 0.192 0.500 0.500
O5 0.752 0.500 0.000

Properties
Its theoretical density is 10.6 Mg/m³. As for the uncorrected energy: -5.49 eV/atom. The spin magnetization comes out at 0.0 Bohr magnetons per cell. As for the space group: P4/mmm, No. 123. For the energy relative to the lowest polymorph listed for this composition, the calculation gives 913 meV per atom.

DFT (GGA-PBE) results for a relaxed TbGdSn crystal.

abc: 5.163 5.163 5.163
angles: 60.00 60.00 60.00
Sites, in units of the cell vectors:
Tb1 0.500 0.500 0.500
Sn1 0.750 0.750 0.750
Gd1 0.000 0.000 0.000

Properties
Its theoretical density is 7.4 Mg/m³. As for the uncorrected energy: -4.84 eV/atom. The spin magnetization comes out at 0.0 Bohr magnetons per cell. As for the space group: F-43m, No. 216. For the energy relative to the lowest polymorph listed for this composition, the calculation gives 0 meV per atom.

DFT (GGA-PBE) results for a relaxed SrBe2Zn crystal.

abc: 4.659 4.659 4.659
angles: 60.00 60.00 60.00
Sites, in units of the cell vectors:
Be1 0.000 0.000 0.000
Sr1 0.500 0.500 0.500
Be2 0.750 0.750 0.750
Zn1 0.250 0.250 0.250

Properties
Its theoretical density is 4.0 Mg/m³. As for the uncorrected energy: -2.07 eV/atom. As for the space group: F-43m, No. 216.

DFT (GGA-PBE) results for a relaxed PrTeAs crystal.

abc: 4.963 4.963 7.740
angles: 90.00 90.00 120.00
Sites, in units of the cell vectors:
As1 0.333 0.667 0.750
Te1 0.333 0.667 0.250
Pr1 0.000 0.000 0.500
As2 0.667 0.333 0.250
Pr2 0.000 0.000 0.000
Te2 0.667 0.333 0.750

Properties
Its theoretical density is 6.9 Mg/m³. As for the uncorrected energy: -4.82 eV/atom. The spin magnetization comes out at 0.0 Bohr magnetons per cell. As for the space group: P6_3/mmc, No. 194.

DFT (GGA-PBE) results for a relaxed Pr2Zn2O5 crystal.

abc: 7.269 3.972 3.972
angles: 90.00 90.00 90.00
Sites, in units of the cell vectors:
Pr1 0.000 0.000 0.000
Zn1 0.234 0.500 0.500
O1 0.789 0.500 0.000
O2 0.500 0.500 0.500
O3 0.211 0.000 0.500
O4 0.789 0.000 0.500
Zn2 0.766 0.500 0.500
O5 0.211 0.500 0.000
Pr2 0.500 0.000 0.000

Properties
Its theoretical density is 7.1 Mg/m³. As for the uncorrected energy: -6.32 eV/atom. The spin magnetization comes out at 0.0 Bohr magnetons per cell. As for the space group: P4/mmm, No. 123. For the energy relative to the lowest polymorph listed for this composition, the calculation gives 0 meV per atom.

DFT (GGA-PBE) results for a relaxed GaGeMo4C2 crystal.

abc: 3.107 3.107 12.916
angles: 90.00 90.00 120.00
Sites, in units of the cell vectors:
Mo1 0.667 0.333 0.835
Ge1 0.667 0.333 0.500
Mo2 0.000 0.000 0.343
C1 0.333 0.667 0.252
Mo3 0.667 0.333 0.165
C2 0.333 0.667 0.748
Ga1 0.000 0.000 0.000
Mo4 0.000 0.000 0.657

Properties
Its theoretical density is 8.5 Mg/m³. As for the uncorrected energy: -8.78 eV/atom. The spin magnetization comes out at 0.0 Bohr magnetons per cell. As for the space group: P-6m2, No. 187.

DFT (GGA-PBE) results for a relaxed HfInW2 crystal.

abc: 4.697 4.697 4.697
angles: 60.00 60.00 60.00
Sites, in units of the cell vectors:
W1 0.000 0.000 0.000
W2 0.750 0.750 0.750
Hf1 0.250 0.250 0.250
In1 0.500 0.500 0.500

Properties
Its theoretical density is 15.0 Mg/m³. As for the uncorrected energy: -9.34 eV/atom. The spin magnetization comes out at 0.0 Bohr magnetons per cell. As for the space group: F-43m, No. 216.

DFT (GGA-PBE) results for a relaxed TbSmCuS3 crystal.

abc: 6.647 6.647 10.219
angles: 90.00 90.00 146.78
Sites, in units of the cell vectors:
Cu1 0.021 0.979 0.250
S1 0.591 0.409 0.750
Sm1 0.735 0.265 0.250
Cu2 0.979 0.021 0.750
S2 0.857 0.143 0.922
Sm2 0.265 0.735 0.750
S3 0.143 0.857 0.078
Tb1 0.500 0.500 0.000
Tb2 0.500 0.500 0.500
S4 0.143 0.857 0.422
S5 0.857 0.143 0.578
S6 0.409 0.591 0.250

Properties
Its theoretical density is 6.3 Mg/m³. As for the uncorrected energy: -5.81 eV/atom. The spin magnetization comes out at 0.0 Bohr magnetons per cell. As for the space group: Cmcm, No. 63.

DFT (GGA-PBE) results for a relaxed NdHo2Sn3Pt3 crystal.

abc: 4.057 7.555 7.555
angles: 120.31 90.00 90.00
Sites, in units of the cell vectors:
Pt1 0.000 0.006 0.006
Ho1 0.000 0.999 0.406
Ho2 0.000 0.406 0.999
Nd1 0.000 0.592 0.592
Sn1 0.500 0.257 0.257
Pt2 0.500 0.327 0.669
Pt3 0.500 0.669 0.327
Sn2 0.500 0.001 0.743
Sn3 0.500 0.743 0.001

Properties
Its theoretical density is 11.8 Mg/m³. As for the uncorrected energy: -5.98 eV/atom. The spin magnetization comes out at 0.0 Bohr magnetons per cell. As for the space group: Amm2, No. 38.

DFT (GGA-PBE) results for a relaxed GeB3Mo4 crystal.

abc: 3.161 3.161 22.954
angles: 90.00 90.00 120.00
Sites, in units of the cell vectors:
Mo1 0.000 0.000 0.336
B1 0.333 0.667 0.887
Mo2 0.333 0.667 0.443
Mo3 0.000 0.000 0.164
Mo4 0.000 0.000 0.664
B2 0.000 0.000 0.500
Mo5 0.000 0.000 0.836
Mo6 0.667 0.333 0.943
B3 0.667 0.333 0.387
B4 0.000 0.000 0.000
Mo7 0.333 0.667 0.057
Mo8 0.667 0.333 0.557
B5 0.667 0.333 0.113
Ge1 0.333 0.667 0.250
B6 0.333 0.667 0.613
Ge2 0.667 0.333 0.750

Properties
Its theoretical density is 8.2 Mg/m³. As for the uncorrected energy: -8.75 eV/atom. The spin magnetization comes out at 0.0 Bohr magnetons per cell. As for the space group: P6_3/mmc, No. 194.

DFT (GGA-PBE) results for a relaxed DyHg crystal.

abc: 4.320 4.320 4.320
angles: 60.00 60.00 60.00
Sites, in units of the cell vectors:
Dy1 0.000 0.000 0.000
Hg1 0.500 0.500 0.500

Properties
Its theoretical density is 10.6 Mg/m³. As for the uncorrected energy: -2.69 eV/atom. The spin magnetization comes out at 0.0 Bohr magnetons per cell. As for the space group: Fm-3m, No. 225. The calculation puts the formation enthalpy at 0 K at -0.242 eV per atom.